(1)
Computed, not measured: crystalline CsTa2Cu at its relaxed geometry at the GGA-PBE level of DFT.

The value obtained for the density of states at the Fermi level is 2.267 states/eV/f.u. For the volume, the calculation gives 304.13 Å³ per cell. Its total energy is -5.393 eV/atom. The formation energy is 1.77 eV/atom. The calculation puts the total magnetic moment at 0.000 μB per cell. The energy above the most stable polymorph in this dataset is 181 meV per atom.

The structure belongs to space group Fm-3m (No. 225); the cell edges are 6.7249, 6.7249 and 6.7249 Å and the angles 90.00°, 90.00° and 90.00°. The distinct sites, in fractional coordinates, are Cs at (0.0000, 0.0000, 0.0000), Ta at (0.2500, 0.2500, 0.2500) and Cu at (0.0000, 0.0000, 0.5000).

---

(2)
Computed, not measured: crystalline CaAg6As2 at its relaxed geometry at the GGA-PBE level of DFT.

The value obtained for the density of states at the Fermi level is 3.135 states/eV/f.u. For the volume, the calculation gives 178.98 Å³ per cell. Its total energy is -3.365 eV/atom. The formation energy is -0.21 eV/atom. The calculation puts the total magnetic moment at 0.000 μB per cell.

The structure belongs to space group P4/mmm (No. 123); the cell edges are 4.1835, 4.1835 and 10.2263 Å and the angles 90.00°, 90.00° and 90.00°. The distinct sites, in fractional coordinates, are Ca at (0.0000, 0.0000, 0.0000), Ag at (0.0000, 0.0000, 0.5000), Ag at (0.0000, 0.5000, 0.2972), Ag at (0.5000, 0.5000, 0.5000) and As at (0.5000, 0.5000, 0.1261).